# Tb3Mg2ZnAgPt2, relaxed, DFT PBE-GGA
# - E_tot (eV/f.u.) = -39.975
# - magnetic moment (μB per formula unit) = 0.0
# - V (Å³/atom) = 21.5
data_Tb3Mg2ZnAgPt2
_chemical_formula_sum 'Tb6 Mg4 Zn2 Ag2 Pt4'
_cell_length_a 3.950
_cell_length_b 13.068
_cell_length_c 7.511
_cell_angle_alpha 90.00
_cell_angle_beta 90.00
_cell_angle_gamma 90.00
_space_group_name_H-M_alt 'A m m 2'
_space_group_IT_number 38
loop_
_space_group_symop_operation_xyz
'x,y,z'
'-x,-y,z'
'-x,y,z'
'x,-y,z'
'x,y+1/2,z+1/2'
'-x,-y+1/2,z+1/2'
'-x,y+1/2,z+1/2'
'x,-y+1/2,z+1/2'
loop_
_atom_site_label
_atom_site_fract_x
_atom_site_fract_y
_atom_site_fract_z
Tb1 0.000 0.000 0.000
Tb2 0.000 0.202 0.351
Mg1 0.500 0.126 0.693
Zn1 0.500 0.000 0.311
Ag1 0.000 0.000 0.562
Pt1 0.500 0.168 0.062

***

# PmAgTeO, relaxed, DFT PBE-GGA
# - magnetic moment (μB per formula unit) = 0.0
# - V (Å³/atom) = 21.3
# - polymorph energy (0 for the lowest one) (meV/atom) = 0
data_PmAgTeO
_chemical_formula_sum 'Pm4 Ag4 Te4 O4'
_cell_length_a 5.858
_cell_length_b 5.858
_cell_length_c 9.946
_cell_angle_alpha 90.00
_cell_angle_beta 90.00
_cell_angle_gamma 90.00
_space_group_name_H-M_alt 'P 4 b m'
_space_group_IT_number 100
loop_
_space_group_symop_operation_xyz
'x,y,z'
'-y,x,z'
'-x,-y,z'
'y,-x,z'
'-x+1/2,y+1/2,z'
'y+1/2,x+1/2,z'
'x+1/2,-y+1/2,z'
'-y+1/2,-x+1/2,z'
loop_
_atom_site_label
_atom_site_fract_x
_atom_site_fract_y
_atom_site_fract_z
Pm1 0.000 0.000 0.000
Pm2 0.000 0.500 0.224
Ag1 0.245 0.255 0.612
Te1 0.000 0.000 0.407
Te2 0.000 0.500 0.818
O1 0.250 0.250 0.112

***

# TmPdAu, relaxed, DFT PBE-GGA
# - ΔE_f (eV per atom) = -0.5085
# - magnetic moment (μB per formula unit) = 0.0
# - V (Å³/atom) = 23.5
# - polymorph energy (0 for the lowest one) (meV/atom) = 214
data_TmPdAu
_chemical_formula_sum 'Tm4 Pd4 Au4'
_cell_length_a 6.555
_cell_length_b 6.555
_cell_length_c 6.555
_cell_angle_alpha 90.00
_cell_angle_beta 90.00
_cell_angle_gamma 90.00
_space_group_name_H-M_alt 'F -4 3 m'
_space_group_IT_number 216
_space_group_name_Hall 'F -4 2 3'
loop_
_atom_site_label
_atom_site_fract_x
_atom_site_fract_y
_atom_site_fract_z
Tm1 0.000 0.000 0.000
Pd1 0.250 0.250 0.250
Au1 0.250 0.250 0.750

***

# ScTlCdTe3, relaxed, DFT PBE-GGA
# - magnetic moment (μB per formula unit) = 0.0
# - V (Å³/atom) = 33.0
# - polymorph energy (0 for the lowest one) (meV/atom) = 0
data_ScTlCdTe3
_chemical_formula_sum 'Sc2 Tl2 Cd2 Te6'
_cell_length_a 8.940
_cell_length_b 4.352
_cell_length_c 10.712
_cell_angle_alpha 90.00
_cell_angle_beta 108.19
_cell_angle_gamma 90.00
_space_group_name_H-M_alt 'P 1 21/m 1'
_space_group_IT_number 11
loop_
_space_group_symop_operation_xyz
'x,y,z'
'-x,-y,-z'
'-x,y+1/2,-z'
'x,-y+1/2,z'
loop_
_atom_site_label
_atom_site_fract_x
_atom_site_fract_y
_atom_site_fract_z
Sc1 0.177 0.250 0.138
Tl1 0.270 0.750 0.745
Cd1 0.422 0.750 0.388
Te1 0.044 0.250 0.855
Te2 0.244 0.250 0.444
Te3 0.402 0.750 0.123

***

# GdDyCo2B2N2, relaxed, DFT PBE-GGA
# - E_tot (eV/f.u.) = -62.113
# - magnetic moment (μB per formula unit) = 0.0
# - V (Å³/atom) = 11.4
data_GdDyCo2B2N2
_chemical_formula_sum 'Gd1 Dy1 Co2 B2 N2'
_cell_length_a 3.499
_cell_length_b 3.499
_cell_length_c 7.452
_cell_angle_alpha 90.00
_cell_angle_beta 90.00
_cell_angle_gamma 90.00
_space_group_name_H-M_alt 'P 4 m m'
_space_group_IT_number 99
loop_
_space_group_symop_operation_xyz
'x,y,z'
'-y,x,z'
'-x,-y,z'
'y,-x,z'
'-x,y,z'
'y,x,z'
'x,-y,z'
'-y,-x,z'
loop_
_atom_site_label
_atom_site_fract_x
_atom_site_fract_y
_atom_site_fract_z
Gd1 0.000 0.000 0.000
Dy1 0.500 0.500 0.662
Co1 0.000 0.500 0.331
B1 0.000 0.000 0.479
B2 0.500 0.500 0.182
N1 0.000 0.000 0.681
N2 0.500 0.500 0.978

***

# Sc2ZnAg, relaxed, DFT PBE-GGA
# - ΔE_f (eV per atom) = -0.0823
# - magnetic moment (μB per formula unit) = 1.0
# - V (Å³/atom) = 19.0
data_Sc2ZnAg
_chemical_formula_sum 'Sc8 Zn4 Ag4'
_cell_length_a 6.718
_cell_length_b 6.718
_cell_length_c 6.718
_cell_angle_alpha 90.00
_cell_angle_beta 90.00
_cell_angle_gamma 90.00
_space_group_name_H-M_alt 'F -4 3 m'
_space_group_IT_number 216
_space_group_name_Hall 'F -4 2 3'
loop_
_atom_site_label
_atom_site_fract_x
_atom_site_fract_y
_atom_site_fract_z
Sc1 0.000 0.000 0.000
Sc2 0.250 0.250 0.250
Zn1 0.000 0.000 0.500
Ag1 0.250 0.250 0.750

***

# Dy5Bi3, relaxed, DFT PBE-GGA
# - magnetic moment (μB per formula unit) = 0.0
# - V (Å³/atom) = 28.9
# - polymorph energy (0 for the lowest one) (meV/atom) = 0
data_Dy5Bi3
_chemical_formula_sum 'Dy10 Bi6'
_cell_length_a 9.1628
_cell_length_b 9.1628
_cell_length_c 6.3619
_cell_angle_alpha 90.00
_cell_angle_beta 90.00
_cell_angle_gamma 120.00
_space_group_name_H-M_alt 'P 63/m c m'
_space_group_IT_number 193
_space_group_name_Hall '-P 6c 2'
loop_
_atom_site_label
_atom_site_fract_x
_atom_site_fract_y
_atom_site_fract_z
Dy1 0.0000 0.2436 0.2500
Dy2 0.3333 0.6667 0.0000
Bi1 0.0000 0.3892 0.7500

***

# DyNbN2O, relaxed, DFT PBE-GGA
# - E_tot (eV/f.u.) = -45.094
# - magnetic moment (μB per formula unit) = 0.0
# - V (Å³/atom) = 12.4
data_DyNbN2O
_chemical_formula_sum 'Dy4 Nb4 N8 O4'
_cell_length_a 5.710
_cell_length_b 7.854
_cell_length_c 5.508
_cell_angle_alpha 90.00
_cell_angle_beta 90.00
_cell_angle_gamma 90.00
_space_group_name_H-M_alt 'P n m a'
_space_group_IT_number 62
loop_
_space_group_symop_operation_xyz
'x,y,z'
'-x,-y,-z'
'-x+1/2,-y,z+1/2'
'x+1/2,y,-z+1/2'
'x+1/2,-y+1/2,-z+1/2'
'-x+1/2,y+1/2,z+1/2'
'-x,y+1/2,-z'
'x,-y+1/2,z'
loop_
_atom_site_label
_atom_site_fract_x
_atom_site_fract_y
_atom_site_fract_z
Dy1 0.059 0.250 0.023
Nb1 0.000 0.000 0.500
N1 0.206 0.562 0.796
O1 0.042 0.750 0.378